[1]
Computed, not measured: crystalline Ca3Cd2Au4 at its relaxed geometry at the PBE level of DFT.

Summary:
energy above the most stable polymorph in this dataset: 24 meV per atom
total DFT energy (no corrections): -2.93 eV/atom
ΔH_f (0 K): -0.604 eV per atom
DOS at the Fermi energy: 0.50 states/eV/atom

Lattice parameters (Å, degrees): 10.3273 4.5876 9.3141 90.00 92.29 90.00
Space group C2/m (No. 12)
Asymmetric unit:
Ca1 0.0000 0.0000 0.0000 [2 per cell]
Ca2 0.1273 0.5000 0.3869 [4 per cell]
Cd1 0.1792 0.5000 0.7731 [4 per cell]
Au1 0.0789 0.0000 0.6260 [4 per cell]
Au2 0.2021 0.5000 0.0818 [4 per cell]

---

[2]
Computed, not measured: crystalline Ca2CdAu7 at its relaxed geometry at the PBE level of DFT.

Summary:
energy above the most stable polymorph in this dataset: 0 meV per atom
total DFT energy (no corrections): -3.23 eV/atom
ΔH_f (0 K): -0.448 eV per atom
DOS at the Fermi energy: 0.46 states/eV/atom

Lattice parameters (Å, degrees): 4.0477 4.0477 13.5657 90.00 90.00 90.00
Space group P-4m2 (No. 115)
Asymmetric unit:
Ca1 0.0000 0.5000 0.2405 [2 per cell]
Cd1 0.0000 0.0000 0.5000 [1 per cell]
Au1 0.0000 0.0000 0.0000 [1 per cell]
Au2 0.0000 0.5000 0.6525 [2 per cell]
Au3 0.0000 0.5000 0.8505 [2 per cell]
Au4 0.5000 0.5000 0.0000 [1 per cell]
Au5 0.5000 0.5000 0.5000 [1 per cell]

---

[3]
Computed, not measured: crystalline CaCd2Au at its relaxed geometry at the PBE level of DFT.

Summary:
total DFT energy (no corrections): -2.12 eV/atom
ΔH_f (0 K): -0.346 eV per atom
DOS at the Fermi energy: 0.46 states/eV/atom

Lattice parameters (Å, degrees): 7.0878 7.0878 7.0878 90.00 90.00 90.00
Space group Fm-3m (No. 225)
Asymmetric unit:
Ca1 0.0000 0.0000 0.0000 [4 per cell]
Cd1 0.2500 0.2500 0.2500 [8 per cell]
Au1 0.0000 0.0000 0.5000 [4 per cell]